No. 1
7
Lattice="3.7423 0.0000 0.0000 0.0000 3.6247 -1.0766 0.0000 0.0590 6.8390" Properties=species:S:1:pos:R:3 comment="PBE PuMn4P2, optimized geometry" total_magnetization_mub_per_cell=4.67 energy_ev_per_cell=-65.99 n_ef_per_ev_fu=11.70 rho_g_cm3=9.39 pbc="T T T"
Mn 0.0000 2.5484 1.9398
Mn 1.8712 2.9664 3.3475
Pu 0.0000 0.0000 0.0000
P 1.8712 2.1723 0.6736
P 1.8712 1.5114 5.0889
Mn 1.8712 0.7173 2.4150
Mn 0.0000 1.1353 3.8227



No. 2
21
Lattice="-3.4645 1.1049 0.3731 -0.6106 -4.6170 8.0028 2.8082 8.8230 -0.0521" Properties=species:S:1:pos:R:3 comment="PBE Pu2Mn12P7, optimized geometry" total_magnetization_mub_per_cell=13.78 energy_ev_per_cell=-189.69 n_ef_per_ev_fu=28.23 rho_g_cm3=8.35 pbc="T T T"
P -0.6024 2.4517 5.0534
Mn -0.6044 3.5190 1.8739
Pu -1.7322 0.5524 0.1866
Mn -1.8903 -1.9069 6.0021
P 2.1829 6.7543 0.2673
P 1.6686 4.3430 2.6329
P 2.2438 5.0335 5.9294
P 0.5791 1.2412 1.7019
Mn -1.1953 1.2288 3.1696
Mn 2.3481 6.0442 3.9041
Mn 1.5289 2.7706 5.9924
Mn -0.5241 1.9244 7.3415
Mn 1.5113 4.5959 0.4232
P -1.8017 -0.9197 3.9013
Mn 1.1465 2.3890 3.5714
Mn 0.1095 -2.2328 7.6288
Mn -0.0514 -0.9488 2.3324
Pu 0.5290 -0.1370 5.3179
P -1.2056 -0.2856 7.5584
Mn 0.3326 6.4076 2.0209
Mn 0.0810 4.7598 4.5635



No. 3
12
Lattice="3.7886 0.0000 0.0000 -1.8943 6.3774 -2.7935 0.0000 -0.3845 7.0510" Properties=species:S:1:pos:R:3 comment="PBE PuMn3P2, optimized geometry" total_magnetization_mub_per_cell=8.55 energy_ev_per_cell=-113.11 n_ef_per_ev_fu=10.51 rho_g_cm3=9.40 pbc="T T T"
Mn 1.8943 5.5564 1.7434
P 1.8943 0.2738 1.2973
P 1.8943 3.8153 0.3167
P 0.0000 5.7190 2.9602
Mn 0.0000 3.5908 2.0711
Pu 1.8943 4.1713 4.6373
Mn 0.0000 5.1197 0.1504
Mn 1.8943 0.8731 4.1071
Mn 1.8943 2.4021 2.1864
P 0.0000 2.1775 3.9408
Mn 0.0000 0.4364 2.5141
Pu 0.0000 1.8215 -0.3798



No. 4
8
Lattice="-5.9001 0.0930 1.6102 -1.3279 -3.7464 -4.6491 -2.7703 -6.2814 1.8293" Properties=species:S:1:pos:R:3 comment="PBE RbMnP2, optimized geometry" total_magnetization_mub_per_cell=0.00 energy_ev_per_cell=-44.63 n_ef_per_ev_fu=0.00 rho_g_cm3=3.19 de_polymorph_ev_per_atom=0.000 pbc="T T T"
P -8.0703 -6.9712 -0.1248
Mn -3.6140 -1.8267 -1.5194
Rb 0.0000 0.0000 0.0000
P -5.1202 -7.0176 -0.9298
P -3.7350 -3.8769 -1.8445
Rb -6.1422 -4.0075 0.9601
P -3.0712 -2.0038 0.4800
Mn -3.8561 -5.9272 -2.1696



No. 5
16
Lattice="-5.6367 -6.0803 -10.2987 2.0720 -3.3271 0.8302 -5.1174 -2.1463 4.1704" Properties=species:S:1:pos:R:3 comment="PBE RbMn2P, optimized geometry" total_magnetization_mub_per_cell=3.03 energy_ev_per_cell=-102.35 n_ef_per_ev_fu=2.92 rho_g_cm3=4.09 pbc="T T T"
Rb -5.2221 -2.8454 1.6302
Rb -7.0547 -8.1179 -5.2582
Mn -4.8416 -3.5436 -2.1175
Rb -5.5320 -5.3812 -7.7585
Mn -3.9231 -3.6666 -4.9026
Mn -5.9125 -4.6830 -4.0108
Mn -6.3643 -6.2803 0.3828
Rb -1.6274 -3.4358 -0.0398
P -4.3948 -5.2825 -0.5339
P -7.8820 -5.6807 -3.0940
Mn -3.2363 -5.1504 -2.8958
Mn -2.3178 -5.2734 -5.6809
P -2.8721 -2.5458 -3.0343
Mn -6.8310 -4.5600 -1.2257
Mn -5.4458 -6.4033 -2.4023
P -4.2873 -6.2712 -4.7641



No. 6
8
Lattice="-2.6504 0.2540 -2.9932 -3.7143 -1.4205 0.4878 -5.6812 11.4439 3.8742" Properties=species:S:1:pos:R:3 comment="PBE RbMn2P, optimized geometry" total_magnetization_mub_per_cell=1.46 energy_ev_per_cell=-51.18 n_ef_per_ev_fu=2.44 rho_g_cm3=4.09 pbc="T T T"
Mn -4.3335 3.9151 1.7657
P -5.7717 7.2943 0.6443
Mn -6.9908 5.1395 1.5417
Rb -8.0856 8.4312 2.7901
Mn -5.0551 5.1380 -0.1730
Mn -7.7124 6.3624 -0.3970
P -6.2742 2.9832 0.7244
Rb -3.9603 1.8462 -1.4214



No. 7
8
Lattice="-3.3963 1.8382 -1.0857 -3.5650 -1.8768 0.5675 -2.0260 4.4272 12.5490" Properties=species:S:1:pos:R:3 comment="PBE RbMn2P, optimized geometry" total_magnetization_mub_per_cell=0.80 energy_ev_per_cell=-50.01 n_ef_per_ev_fu=2.59 rho_g_cm3=3.96 pbc="T T T"
Rb -2.7763 3.8536 11.4299
P -6.4210 2.0822 5.0217
P -2.5479 2.4522 8.3484
Mn -4.1442 2.6318 6.2374
Mn -4.9032 2.5483 8.4687
Rb -3.9318 1.1025 2.9901
Mn -7.2211 2.6352 8.4571
Mn -1.8317 2.4659 6.1334



No. 8
4
Lattice="-4.4817 1.4527 1.3509 -1.8457 4.1931 -1.7414 -3.6854 -0.0990 -3.2294" Properties=species:S:1:pos:R:3 comment="PBE RbMnP2, optimized geometry" total_magnetization_mub_per_cell=3.17 energy_ev_per_cell=-18.19 n_ef_per_ev_fu=2.40 rho_g_cm3=4.04 de_polymorph_ev_per_atom=1.031 pbc="T T T"
P -7.5096 4.1601 -2.7149
P -2.5032 1.3867 -0.9050
Rb -5.0064 2.7734 -1.8099
Mn 0.0000 0.0000 0.0000



No. 9
8
Lattice="5.5186 0.0000 0.0000 0.0000 5.5186 0.0000 2.7593 2.7593 7.5562" Properties=species:S:1:pos:R:3 comment="PBE RbMn2P, optimized geometry" total_magnetization_mub_per_cell=15.47 energy_ev_per_cell=-46.72 n_ef_per_ev_fu=3.40 rho_g_cm3=3.27 pbc="T T T"
Rb 5.5186 2.7593 3.7781
Mn 4.1389 5.5184 5.6671
P 2.7593 2.7593 0.0000
Rb 0.0000 0.0000 0.0000
Mn 6.8982 5.5187 5.6671
Mn 2.7594 1.3796 1.8890
Mn 2.7592 4.1389 1.8890
P 2.7593 5.5186 3.7781



No. 10
4
Lattice="4.0482 -0.0006 0.0309 2.0224 3.4931 0.3201 1.9755 0.6060 6.4923" Properties=species:S:1:pos:R:3 comment="PBE RbMn2P, optimized geometry" total_magnetization_mub_per_cell=1.33 energy_ev_per_cell=-24.66 n_ef_per_ev_fu=2.03 rho_g_cm3=4.14 pbc="T T T"
P 2.9392 2.8094 5.2830
Mn 4.9604 1.6045 5.6548
Mn 4.9616 3.9595 5.5618
Rb 4.9875 1.9014 2.2522



No. 11
6
Lattice="-2.9830 2.0311 1.3008 -1.8135 -3.2527 0.9201 4.7067 0.2974 10.3286" Properties=species:S:1:pos:R:3 comment="PBE RbMnP, optimized geometry" total_magnetization_mub_per_cell=3.43 energy_ev_per_cell=-33.45 n_ef_per_ev_fu=2.05 rho_g_cm3=3.41 pbc="T T T"
Rb 0.4633 -1.5398 3.4666
P -0.9758 1.0481 1.7820
Rb 1.8451 1.2264 7.9724
P 3.2842 -1.3615 9.6570
Mn 0.0000 0.0000 0.0000
Mn -2.3982 -0.6108 1.1105



No. 12
8
Lattice="4.0145 0.0003 0.0006 2.0075 3.4767 -0.0092 0.0551 0.3853 13.2925" Properties=species:S:1:pos:R:3 comment="PBE RbMn2P, optimized geometry" total_magnetization_mub_per_cell=1.25 energy_ev_per_cell=-50.96 n_ef_per_ev_fu=2.64 rho_g_cm3=4.05 pbc="T T T"
P 1.5299 0.7157 3.6813
Mn 5.5441 3.0367 4.9432
Mn 3.5369 1.8762 4.2521
Rb 5.5446 3.0279 1.2349
Rb 3.5378 1.8864 9.9999
Mn 3.5361 1.8819 6.6904
P 5.5435 3.0423 7.3546
Mn 1.5291 0.7214 6.1183



Listing energy of formation for the structures above in their given order: -0.59, -0.63, -0.65, -0.34, -0.22, -0.22, -0.07, 0.69, 0.34, 0.01, -0.39, -0.19 eV/atom.